[1]
DFT (PBE) results for crystalline TiHgS at its relaxed geometry.

abc: 12.262 3.342 5.844
angles: 90.00 90.00 90.00
Space group Amm2 (No. 38)
Inequivalent atoms, fractional coordinates:
Ti 0.000 0.000 0.000
Ti 0.500 0.000 0.198
Hg 0.325 0.000 0.856
S 0.122 0.000 0.330

Values from the calculation:
formation energy from raw total energies = -48 kJ per mole of atoms
volume = 20.0 A^3/atom

[2]
DFT (PBE) results for crystalline Ti3HgS at its relaxed geometry.

abc: 5.046 5.046 5.046
angles: 90.00 90.00 90.00
Space group Pm-3m (No. 221)
Inequivalent atoms, fractional coordinates:
Ti 0.000 0.000 0.500
Hg 0.000 0.000 0.000
S 0.500 0.500 0.500

Values from the calculation:
formation energy from raw total energies = 103 kJ per mole of atoms
excess energy over the best structure of this formula in the dataset = 34.14 kcal/mol of atoms
volume = 25.7 A^3/atom

[3]
DFT (PBE) results for crystalline TiTl2HgS4 at its relaxed geometry.

abc: 9.823 9.876 6.950
angles: 90.00 134.94 90.00
Space group C2 (No. 5)
Inequivalent atoms, fractional coordinates:
Ti 0.000 0.000 0.000
Tl 0.000 0.499 0.000
Tl 0.000 0.750 0.500
Hg 0.000 0.250 0.500
S 0.168 0.118 0.941
S 0.226 0.882 0.394

Values from the calculation:
formation energy from raw total energies = -59 kJ per mole of atoms
volume = 29.8 A^3/atom

[4]
DFT (PBE) results for crystalline TiV2Hg2S6 at its relaxed geometry.

abc: 5.640 9.769 9.360
angles: 90.00 103.07 90.00
Space group C2/m (No. 12)
Inequivalent atoms, fractional coordinates:
Ti 0.000 0.000 0.000
V 0.000 0.333 0.000
Hg 0.000 0.167 0.500
S 0.221 0.500 0.160
S 0.229 0.169 0.160

Values from the calculation:
formation energy from raw total energies = -77 kJ per mole of atoms
volume = 22.8 A^3/atom

[5]
DFT (PBE) results for crystalline Tl8HgS4 at its relaxed geometry.

abc: 12.508 12.508 12.508
angles: 90.00 90.00 90.00
Space group F-43m (No. 216)
Inequivalent atoms, fractional coordinates:
Tl 0.108 0.108 0.392
Tl 0.132 0.132 0.868
Hg 0.250 0.250 0.250
S 0.128 0.128 0.628

Values from the calculation:
formation energy from raw total energies = -25 kJ per mole of atoms
excess energy over the best structure of this formula in the dataset = 0.82 kcal/mol of atoms
volume = 37.6 A^3/atom

[6]
DFT (PBE) results for crystalline Tl8HgS4 at its relaxed geometry.

abc: 8.4372 8.4372 23.3837
angles: 90.00 90.00 120.00
Space group R-3m (No. 166, hexagonal axes)
Inequivalent atoms, fractional coordinates:
Tl 0.0000 0.0000 0.2393
Tl 0.0029 0.5014 0.2379
Hg 0.0000 0.0000 0.0000
S 0.0000 0.0000 0.5000
S 0.0000 0.5000 0.5000

Values from the calculation:
formation energy from raw total energies = -29 kJ per mole of atoms
excess energy over the best structure of this formula in the dataset = 0.00 kcal/mol of atoms
volume = 37.0 A^3/atom

[7]
DFT (PBE) results for crystalline TlHgS at its relaxed geometry.

abc: 3.714 3.714 10.940
angles: 90.00 90.00 90.00
Space group I4mm (No. 107)
Inequivalent atoms, fractional coordinates:
Tl 0.000 0.000 0.000
Hg 0.000 0.000 0.292
S 0.000 0.000 0.666

Values from the calculation:
formation energy from raw total energies = 6 kJ per mole of atoms
excess energy over the best structure of this formula in the dataset = 3.77 kcal/mol of atoms
volume = 25.1 A^3/atom

[8]
DFT (PBE) results for crystalline Tl3HgS4 at its relaxed geometry.

abc: 9.558 7.478 7.057
angles: 90.00 90.00 90.00
Space group Pmn2_1 (No. 31)
Inequivalent atoms, fractional coordinates:
Tl 0.000 0.182 0.000
Tl 0.248 0.321 0.501
Hg 0.000 0.810 0.491
S 0.000 0.158 0.546
S 0.000 0.782 0.121
S 0.217 0.652 0.627

Values from the calculation:
formation energy from raw total energies = -12 kJ per mole of atoms
volume = 31.5 A^3/atom